No. 1
# CrNiI2N

A relaxed CrNiI2N crystal (PBE, Alexandria via LeMat-Bulk).

Values from the calculation:
N(E_F): 1.67 states/eV per atom
theoretical density: 6134 kg/m³
ΔE_f (raw): 1157.8 meV/atom
E above lowest polymorph: 13.823 kcal/mol of atoms
total magnetic moment: 0.3 μB/f.u.

Structure (CIF):
```
data_CrNiI2N
_cell_length_a 5.445
_cell_length_b 5.445
_cell_length_c 3.457
_cell_angle_alpha 90.00
_cell_angle_beta 90.00
_cell_angle_gamma 90.00
_space_group_name_H-M_alt 'P 1'
_space_group_IT_number 1
loop_
_space_group_symop_operation_xyz
'x,y,z'
loop_
_atom_site_label
_atom_site_type_symbol
_atom_site_fract_x
_atom_site_fract_y
_atom_site_fract_z
Cr1 Cr 0.000 0.000 0.000
Ni1 Ni 0.500 0.500 0.500
I1 I 0.000 0.500 0.500
I2 I 0.500 0.000 0.500
N1 N 0.500 0.500 0.000
```

No. 2
# CrNiI2N

A relaxed CrNiI2N crystal (PBE, Alexandria via LeMat-Bulk).

Values from the calculation:
N(E_F): 1.34 states/eV per atom
theoretical density: 5811 kg/m³
ΔE_f (raw): 558.3 meV/atom
E above lowest polymorph: 0.000 kcal/mol of atoms
total magnetic moment: 2.8 μB/f.u.

Structure (CIF):
```
data_CrNiI2N
_cell_length_a 5.490
_cell_length_b 5.490
_cell_length_c 3.588
_cell_angle_alpha 90.00
_cell_angle_beta 90.00
_cell_angle_gamma 90.00
_space_group_name_H-M_alt 'P 1'
_space_group_IT_number 1
loop_
_space_group_symop_operation_xyz
'x,y,z'
loop_
_atom_site_label
_atom_site_type_symbol
_atom_site_fract_x
_atom_site_fract_y
_atom_site_fract_z
Cr1 Cr 0.000 0.000 0.000
Ni1 Ni 0.500 0.500 0.500
I1 I 0.000 0.500 0.000
I2 I 0.500 0.000 0.000
N1 N 0.000 0.000 0.500
```